## one
Entry from the Alexandria database: PdAuC2 after structural relaxation (PBEsol).

Calculated values
The size of the total moment comes out at 0.00 μB per atom.

Cell lengths 5.019, 5.019, 8.384 Å; angles 90.00, 90.00, 90.00 degrees
Space group I-42d (No. 122)
Asymmetric unit:
Pd  0.000  0.000  0.000
Au  0.000  0.000  0.500
C  0.234  0.250  0.125

## two
Entry from the Alexandria database: PdAuC2 after structural relaxation (PBEsol).

Calculated values
The size of the total moment comes out at 0.00 μB per atom.

Cell lengths 5.626, 5.626, 5.626 Å; angles 90.00, 90.00, 90.00 degrees
Space group Fm-3m (No. 225)
Asymmetric unit:
Pd  0.000  0.000  0.000
Au  0.000  0.000  0.500
C  0.250  0.250  0.250

one comes first in stability; the runner-up is 565 meV/atom higher.

## one
Entry from the Alexandria database: Sc3AuC after structural relaxation (PBEsol).

Calculated values
The size of the total moment comes out at 0.23 μB per atom.

Cell lengths 4.440, 4.440, 4.440 Å; angles 90.00, 90.00, 90.00 degrees
Space group Pm-3m (No. 221)
Asymmetric unit:
Sc  0.000  0.000  0.500
Au  0.500  0.500  0.500
C  0.000  0.000  0.000

## two
Entry from the Alexandria database: Sc3AuC after structural relaxation (PBEsol).

Calculated values
The size of the total moment comes out at 0.00 μB per atom.

Cell lengths 6.333, 8.756, 6.302 Å; angles 90.00, 90.00, 90.00 degrees
Space group Imma (No. 74)
Asymmetric unit:
Sc  0.000  0.250  0.077
Sc  0.250  0.040  0.750
Au  0.000  0.250  0.510
C  0.000  0.000  0.000

two comes first in stability; the runner-up is 48 meV/atom higher.

## one
Entry from the Alexandria database: Ca5Au after structural relaxation (PBEsol).

Calculated values
The size of the total moment comes out at 0.00 μB per atom.

Cell lengths 9.521, 9.521, 9.521 Å; angles 90.00, 90.00, 90.00 degrees
Space group F-43m (No. 216)
Asymmetric unit:
Ca  0.000  0.000  0.000
Ca  0.125  0.125  0.375
Au  0.250  0.250  0.750

## two
Entry from the Alexandria database: Ca5Au after structural relaxation (PBEsol).

Calculated values
The size of the total moment comes out at 0.00 μB per atom.

Cell lengths 12.940, 3.755, 9.180 Å; angles 90.00, 112.96, 90.00 degrees
Space group C2/m (No. 12)
Asymmetric unit:
Ca  0.000  0.000  0.000
Ca  0.124  0.500  0.375
Ca  0.171  0.500  0.784
Au  0.000  0.000  0.500

two comes first in stability; the runner-up is 536 meV/atom higher.